! YFe2Sb SCAN single point on PBEsol structure; values from VASP
&SYSTEM
  ibrav = 0, nat = 4, ntyp = 3
/
ATOMIC_SPECIES
Y 88.91 Y.upf
Fe 55.84 Fe.upf
Sb 121.76 Sb.upf
ATOMIC_POSITIONS crystal
Y 0.2500 0.7500 0.5000
Fe 0.7500 0.2500 0.5000
Fe 0.0000 0.0000 0.0000
Sb 0.5000 0.5000 0.0000
CELL_PARAMETERS angstrom
-2.0024 -2.0793 2.9417
-2.8373 -1.1634 -2.7537
4.6456 -1.7509 -0.9626
! Size of the total moment: 1.1159 μB/atom
! Raw total energy: -25.33 eV per atom
! Space-group type: I-4m2 (119)
! Uncorrected formation energy: 0.006 eV/atom
! Density of states at the Fermi level: 2.23 states/eV per cell